Version i
DFT (PBE-GGA) results for an optimized crystal structure of YSn2Br8.

Lattice parameters (Å, degrees): 7.9695 8.1530 8.1530 82.56 73.72 73.72
With the nearest neighbours (Å) after each atom.
Atoms (fractional coordinates):
Sn: 0.6278 0.8551 0.8551  3 Br 2.55-2.78
Br: 0.1741 0.9027 0.2702  1 Sn 2.78, 1 Y 2.84
Br: 0.8208 0.6356 0.6356  1 Sn 2.55
Br: 0.8259 0.0973 0.7298  1 Sn 2.78, 1 Y 2.84
Y: 0.0000 0.0000 0.0000  6 Br 2.80-2.84
Br: 0.6945 0.2093 0.2093  1 Y 2.80, 1 Sn 2.96
Br: 0.3055 0.7907 0.7907  1 Y 2.80, 1 Sn 2.96
Sn: 0.3722 0.1449 0.1449  3 Br 2.55-2.78
Br: 0.8259 0.7298 0.0973  1 Sn 2.78, 1 Y 2.84
Br: 0.1792 0.3644 0.3644  1 Sn 2.55
Br: 0.1741 0.2702 0.9027  1 Sn 2.78, 1 Y 2.84



Version ii
DFT (PBE-GGA) results for an optimized crystal structure of YSn2Br8.

Lattice parameters (Å, degrees): 7.7987 7.9494 7.9494 70.85 74.51 74.51
With the nearest neighbours (Å) after each atom.
Atoms (fractional coordinates):
Sn: 0.8124 0.6532 0.6532  4 Br 2.67-2.88
Br: 0.7522 0.8828 0.8828  1 Y 2.82, 1 Sn 2.86
Br: 0.7639 0.3429 0.9618  1 Y 2.83, 1 Sn 2.88
Br: 0.2478 0.1172 0.1172  1 Y 2.82, 1 Sn 2.86
Br: 0.8258 0.4187 0.4187  1 Sn 2.67
Br: 0.2361 0.0382 0.6571  1 Y 2.83, 1 Sn 2.88
Br: 0.1742 0.5813 0.5813  1 Sn 2.67
Br: 0.7639 0.9618 0.3429  1 Y 2.83, 1 Sn 2.88
Y: 0.0000 0.0000 0.0000  6 Br 2.82-2.83
Sn: 0.1876 0.3468 0.3468  4 Br 2.67-2.88
Br: 0.2361 0.6571 0.0382  1 Y 2.83, 1 Sn 2.88



Quick look at relative energies in meV per atom: version i 16; version ii 0.



Version i
DFT (PBE-GGA) results for an optimized crystal structure of YSn2Br2.

Lattice parameters (Å, degrees): 8.7515 8.7515 3.7249 90.00 90.00 90.00
With the nearest neighbours (Å) after each atom.
Atoms (fractional coordinates):
Sn: 0.1957 0.6957 0.5000  2 Br 2.88
Br: 0.6272 0.1272 0.0000  2 Sn 2.88, 1 Br 3.15
Sn: 0.8043 0.3043 0.5000  2 Br 2.88
Br: 0.8728 0.6272 0.0000  2 Sn 2.88, 1 Br 3.15
Y: 0.5000 0.5000 0.0000  4 Br 3.45, 8 Sn 3.67, 2 Y 3.72
Br: 0.1272 0.3728 0.0000  2 Sn 2.88, 1 Br 3.15
Y: 0.0000 0.0000 0.0000  4 Br 3.45, 8 Sn 3.67, 2 Y 3.72
Br: 0.3728 0.8728 0.0000  2 Sn 2.88, 1 Br 3.15
Sn: 0.3043 0.1957 0.5000  2 Br 2.88
Sn: 0.6957 0.8043 0.5000  2 Br 2.88



Version ii
DFT (PBE-GGA) results for an optimized crystal structure of YSn2Br2.

Lattice parameters (Å, degrees): 3.9065 3.9065 12.0761 80.69 80.69 90.00
With the nearest neighbours (Å) after each atom.
Atoms (fractional coordinates):
Br: 0.5701 0.5701 0.8598  4 Y 3.22, 1 Br 3.30
Br: 0.4299 0.4299 0.1402  4 Y 3.22, 1 Br 3.30
Y: 0.0000 0.0000 0.0000  8 Br 3.22
Sn: 0.7500 0.2500 0.5000  4 Sn 2.76
Sn: 0.2500 0.7500 0.5000  4 Sn 2.76



Quick look at relative energies in meV per atom: version i 248; version ii 0.